Ir2WCl: PBEsol geometry, SCAN.

formation energy from raw total energies	1.41	eV/atom
M_tot	0.00	μB per cell
energy relative to the lowest polymorph listed for this composition	973	meV/atom

Cell: 3.886 3.886 3.974 Å, 90.00 90.00 90.00°
Positions (direct):
Ir 0.500 0.000 0.000
Ir 0.000 0.500 0.000
W 0.500 0.500 0.500
Cl 0.000 0.000 0.500